# 1
An optimized crystal structure of Cr2CoRe, computed with GGA-PBE.

Spin magnetization in μB per formula unit: 0.000
Raw total energy in eV/atom: -9.5697

Unit cell a=8.546 b=2.588 c=4.505 alpha=90.00 beta=99.64 gamma=90.00
Space group C2/m (No. 12)
Asymmetric unit:
Cr 0.241 0.000 0.230 (multiplicity 4)
Co 0.000 0.500 0.000 (multiplicity 2)
Re 0.000 0.000 0.500 (multiplicity 2)

# 2
An optimized crystal structure of SmGaHg, computed with GGA-PBE.

Spin magnetization in μB per formula unit: 0.000
Polymorph energy (0 for the lowest one) in meV per atom: 86.0

Unit cell a=6.735 b=6.735 c=6.735 alpha=90.00 beta=90.00 gamma=90.00
Space group F-43m (No. 216)
Asymmetric unit:
Sm 0.000 0.000 0.000 (multiplicity 4)
Ga 0.250 0.250 0.750 (multiplicity 4)
Hg 0.000 0.000 0.500 (multiplicity 4)

# 3
An optimized crystal structure of CsINO2, computed with GGA-PBE.

Spin magnetization in μB per formula unit: 1.393
Raw total energy in eV/atom: -3.1309

Unit cell a=5.015 b=5.015 c=4.242 alpha=90.00 beta=90.00 gamma=90.00
Space group P4/mmm (No. 123)
Asymmetric unit:
Cs 0.000 0.000 0.000 (multiplicity 1)
I 0.500 0.500 0.000 (multiplicity 1)
N 0.500 0.500 0.500 (multiplicity 1)
O 0.000 0.500 0.500 (multiplicity 2)